(1)
## Hf3MgRh (PBE)

Data for a relaxed Hf3MgRh crystal.

Values from the calculation:
theoretical density: 8.8 g/cm³

Unit cell a=5.003 b=5.003 c=5.003 alpha=90.00 beta=90.00 gamma=90.00
Element x y z (fractional)
Hf: 0.500 0.000 0.000
Hf: 0.000 0.000 0.500
Hf: 0.000 0.500 0.000
Rh: 0.000 0.000 0.000
Mg: 0.500 0.500 0.500

---

(2)
## HfMg2Rh2 (PBE)

Data for a relaxed HfMg2Rh2 crystal.

Values from the calculation:
theoretical density: 8.1 g/cm³

Unit cell a=3.667 b=3.667 c=7.071 alpha=74.97 beta=74.97 gamma=90.00
Element x y z (fractional)
Mg: 0.250 0.750 0.500
Mg: 0.750 0.250 0.500
Hf: 0.000 0.000 0.000
Rh: 0.399 0.399 0.202
Rh: 0.601 0.601 0.798

---

(3)
## HfMg2Rh (PBE)

Data for a relaxed HfMg2Rh crystal.

Values from the calculation:
theoretical density: 6.7 g/cm³

Unit cell a=7.864 b=7.864 c=6.155 alpha=50.30 beta=50.30 gamma=90.00
Element x y z (fractional)
Hf: 0.000 0.000 0.000
Hf: 0.750 0.250 0.500
Mg: 0.875 0.819 0.750
Mg: 0.569 0.125 0.250
Mg: 0.181 0.625 0.250
Mg: 0.375 0.431 0.750
Rh: 0.250 0.750 0.500
Rh: 0.500 0.500 0.000

---

(4)
## Hf2MgRh (PBE)

Data for a relaxed Hf2MgRh crystal.

Values from the calculation:
theoretical density: 9.6 g/cm³

Unit cell a=3.050 b=3.050 c=10.519 alpha=81.66 beta=81.66 gamma=60.00
Element x y z (fractional)
Rh: 0.500 0.500 0.500
Hf: 0.903 0.903 0.292
Hf: 0.097 0.097 0.708
Mg: 0.000 0.000 0.000

---

(5)
## Hf2Mg2Rh3 (PBE)

Data for a relaxed Hf2Mg2Rh3 crystal.

Values from the calculation:
theoretical density: 9.2 g/cm³

Unit cell a=4.555 b=4.554 c=7.635 alpha=89.94 beta=107.18 gamma=120.12
Element x y z (fractional)
Rh: 0.483 0.741 0.225
Rh: 0.517 0.259 0.775
Rh: 0.000 0.000 0.000
Mg: 0.261 0.130 0.394
Mg: 0.739 0.870 0.606
Hf: 0.237 0.619 0.854
Hf: 0.763 0.381 0.146

---

(6)
## Hf2MgRh6 (PBE)

Data for a relaxed Hf2MgRh6 crystal.

Values from the calculation:
theoretical density: 10.9 g/cm³

Unit cell a=2.999 b=7.439 c=7.925 alpha=117.99 beta=100.81 gamma=90.00
Element x y z (fractional)
Mg: 0.000 0.000 0.000
Rh: 0.835 0.627 0.669
Rh: 0.165 0.373 0.331
Rh: 0.500 0.701 0.000
Rh: 0.835 0.042 0.669
Rh: 0.165 0.958 0.331
Rh: 0.500 0.299 0.000
Hf: 0.666 0.667 0.334
Hf: 0.334 0.333 0.666

---

| no. | E_form (meV per atom) | total energy (eV per atom) |
| --- | --- | --- |
| 1 | 252 | -7.5090 |
| 2 | -305 | -5.8737 |
| 3 | 100 | -5.0240 |
| 4 | 52 | -7.1614 |
| 5 | -716 | -7.1657 |
| 6 | -335 | -7.6252 |